Model w:
Entry from Alexandria: a relaxed TbCeH2 crystal (PBE).

Cell lengths 3.4943, 3.4943, 6.1852 Å; angles 73.59, 73.59, 60.00 degrees
Site moments in Bohr magnetons follow the coordinates.
Fractional coordinates of all 4 atoms:
H (0.7465, 0.7465, 0.7606)  0.00
H (0.2535, 0.2535, 0.2394)  0.00
Ce (0.5000, 0.5000, 0.5000)  0.61
Tb (0.0000, 0.0000, 0.0000)  0.07


Model x:
Entry from Alexandria: a relaxed TbCeH2 crystal (PBE).

Cell lengths 3.4225, 3.4225, 6.4158 Å; angles 74.53, 74.53, 60.00 degrees
Site moments in Bohr magnetons follow the coordinates.
Fractional coordinates of all 4 atoms:
H (0.0769, 0.0769, 0.7693)  0.00
H (0.2596, 0.2596, 0.2213)  0.00
Tb (0.6694, 0.6694, 0.9917)  0.08
Ce (0.4941, 0.4941, 0.5177)  0.63


Verdict on stability: model x comes out at the bottom.


Model w:
Entry from Alexandria: a relaxed CeTcH3 crystal (PBE).

Cell lengths 3.3564, 5.9465, 5.6133 Å; angles 79.12, 90.00, 89.99 degrees
Site moments in Bohr magnetons follow the coordinates.
Fractional coordinates of all 10 atoms:
H (0.5430, 0.8983, 0.6164)  0.00
H (0.5433, 0.4805, 0.1882)  0.00
H (0.0430, 0.7627, 0.7933)  0.00
H (0.5430, 0.4859, 0.6463)  0.00
H (0.0433, 0.1068, 0.4066)  0.00
H (0.5430, 0.8900, 0.0436)  0.00
Ce (0.0431, 0.7378, 0.3590)  0.92
Ce (0.0431, 0.1790, 0.8003)  0.58
Tc (0.0433, 0.3282, 0.1589)  -0.01
Tc (0.5431, 0.6740, 0.8641)  0.01


Model x:
Entry from Alexandria: a relaxed CeTcH3 crystal (PBE).

Cell lengths 3.7235, 3.7235, 3.7235 Å; angles 90.00, 90.00, 90.00 degrees
Site moments in Bohr magnetons follow the coordinates.
Fractional coordinates of all 5 atoms:
H (0.0000, 0.0000, 0.5000)  0.00
H (0.0000, 0.5000, 0.0000)  0.00
H (0.5000, 0.0000, 0.0000)  0.00
Ce (0.5000, 0.5000, 0.5000)  0.84
Tc (0.0000, 0.0000, 0.0000)  -0.12


Verdict on stability: model w comes out at the bottom.


Model w:
Entry from Alexandria: a relaxed Ce2TeH crystal (PBE).

Cell lengths 3.9313, 3.9313, 7.5315 Å; angles 74.87, 74.87, 60.00 degrees
Site moments in Bohr magnetons follow the coordinates.
Fractional coordinates of all 4 atoms:
H (0.0000, 0.0000, 0.0000)  -0.01
Ce (0.7326, 0.7326, 0.8023)  0.98
Ce (0.2674, 0.2674, 0.1977)  0.98
Te (0.5000, 0.5000, 0.5000)  -0.02


Model x:
Entry from Alexandria: a relaxed Ce2TeH crystal (PBE).

Cell lengths 6.1906, 6.1207, 10.3123 Å; angles 93.64, 90.00, 90.00 degrees
Site moments in Bohr magnetons follow the coordinates.
Fractional coordinates of all 16 atoms:
Ce (0.7720, 0.5174, 0.1850)  0.87
Ce (0.7587, 0.0041, 0.9290)  0.88
Ce (0.2413, 0.5041, 0.4290)  0.88
Ce (0.2280, 0.4826, 0.8150)  0.87
Ce (0.2413, 0.9959, 0.0710)  0.88
Ce (0.2280, 0.0174, 0.6850)  0.87
Ce (0.7720, 0.9826, 0.3150)  0.87
Ce (0.7587, 0.4959, 0.5710)  0.88
H (0.8872, 0.3528, 0.3710)  -0.01
H (0.8872, 0.1472, 0.1290)  -0.01
H (0.1128, 0.8528, 0.8710)  -0.01
H (0.1128, 0.6472, 0.6290)  -0.01
Te (0.7283, 0.5014, 0.8775)  -0.02
Te (0.2717, 0.4986, 0.1225)  -0.02
Te (0.2717, 0.0014, 0.3775)  -0.02
Te (0.7283, 0.9986, 0.6225)  -0.02


Verdict on stability: model w comes out at the bottom.


Model w:
Entry from Alexandria: a relaxed CeTh2H crystal (PBE).

Cell lengths 3.3475, 3.3475, 8.4775 Å; angles 90.00, 90.00, 90.00 degrees
Fractional coordinates of all 4 atoms:
Th (0.0000, 0.0000, 0.8120)
Th (0.0000, 0.0000, 0.1880)
H (0.5000, 0.5000, 0.0000)
Ce (0.5000, 0.5000, 0.5000)


Model x:
Entry from Alexandria: a relaxed CeTh2H crystal (PBE).

Cell lengths 3.4039, 3.4039, 9.7759 Å; angles 79.97, 79.97, 60.00 degrees
Site moments in Bohr magnetons follow the coordinates.
Fractional coordinates of all 4 atoms:
Ce (0.0000, 0.0000, 0.0000)  0.46
Th (0.8882, 0.8882, 0.3354)  -0.01
Th (0.1118, 0.1118, 0.6646)  -0.01
H (0.5000, 0.5000, 0.5000)  0.00


Verdict on stability: model w comes out at the bottom.